Entry from OQMD via LeMat-Bulk: a geometry-optimized Zr2Be2In structure (PBE).

Values from the calculation:
Electronic total energy ... -57.430 eV/cell
Magnetic moment ... 0.0 Bohr magnetons per cell

Cell: 6.526 6.526 3.939 Å, 90.00 90.00 90.00°
Sites, in units of the cell vectors:
Zr (0.168, 0.332, 0.000)
Zr (0.332, 0.832, 0.000)
Zr (0.668, 0.168, 0.000)
Zr (0.832, 0.668, 0.000)
Be (0.118, 0.618, 0.500)
Be (0.382, 0.118, 0.500)
Be (0.618, 0.882, 0.500)
Be (0.882, 0.382, 0.500)
In (0.000, 0.000, 0.500)
In (0.500, 0.500, 0.500)